Below is a relaxed PaSbAs crystal, with properties calculated at the PBE-GGA level.

a = 3.8845 Å, b = 3.8845 Å, c = 5.5929 Å
α = 110.32°, β = 110.32°, γ = 90.00°
With the nearest neighbours (Å) after each atom.
Element x y z (fractional)
Sb 0.0120 0.0120 0.0240  1 As 2.87, 4 Pa 3.21
As 0.3062 0.3062 0.6123  1 Sb 2.87, 4 Pa 3.00
Pa 0.6818 0.6818 0.3637  4 As 3.00, 5 Sb 3.21-3.22

Properties
energy above the lowest structure with this stoichiometry	205.6	meV/atom
total DFT energy (no corrections)	-19.83	eV/cell
formation energy without anion corrections	-1.56	eV per formula unit
magnetization	0.000	μB/f.u.